Record 1
An optimized crystal structure of CrIrI2O. Source: the Alexandria database, functional GGA+U. Values from VASP.

Output
energy above the lowest structure with this stoichiometry = 0 meV/atom
theoretical density = 7.02 g/cm³
DOS(E_F) = 0.710 states/eV/atom

The structure in Quantum ESPRESSO input format:
```
&SYSTEM
  ibrav = 0, nat = 5, ntyp = 4
/
ATOMIC_SPECIES
Cr 52.00 Cr.upf
Ir 192.22 Ir.upf
I 126.90 I.upf
O 16.00 O.upf
CELL_PARAMETERS angstrom
5.693 0.000 0.000
0.000 5.693 0.000
0.000 0.000 3.754
ATOMIC_POSITIONS crystal
Cr 0.000 0.000 0.000
Ir 0.500 0.500 0.500
I 0.000 0.500 0.500
I 0.500 0.000 0.500
O 0.500 0.500 0.000
```


Record 2
An optimized crystal structure of CrIrI2O. Source: the Alexandria database, functional GGA+U. Values from VASP.

Output
energy above the lowest structure with this stoichiometry = 633 meV/atom
theoretical density = 8.28 g/cm³
DOS(E_F) = 0.881 states/eV/atom

The structure in Quantum ESPRESSO input format:
```
&SYSTEM
  ibrav = 0, nat = 5, ntyp = 4
/
ATOMIC_SPECIES
Cr 52.00 Cr.upf
Ir 192.22 Ir.upf
I 126.90 I.upf
O 16.00 O.upf
CELL_PARAMETERS angstrom
5.424 0.000 0.000
0.000 5.424 0.000
0.000 0.000 3.504
ATOMIC_POSITIONS crystal
Cr 0.000 0.000 0.000
Ir 0.500 0.500 0.500
I 0.000 0.500 0.000
I 0.500 0.000 0.000
O 0.000 0.000 0.500
```